# CsLiNiO2, relaxed, DFT PBE with a Hubbard U
# volume	17.28	Å³ per atom
# E_tot	-20.92	eV/f.u.
# crystal system	orthorhombic
# DOS(E_F)	0.0	states/eV/cell
data_CsLiNiO2
_chemical_formula_sum 'Cs4 Li4 Ni4 O8'
_cell_length_a 5.212
_cell_length_b 11.970
_cell_length_c 5.540
_cell_angle_alpha 90.00
_cell_angle_beta 90.00
_cell_angle_gamma 90.00
_symmetry_space_group_name_H-M 'C m m e'
_symmetry_Int_Tables_number 67
_symmetry_space_group_name_Hall '-C 2a 2'
loop_
_atom_site_label
_atom_site_type_symbol
_atom_site_fract_x
_atom_site_fract_y
_atom_site_fract_z
_atom_site_occupancy
Cs1 Cs 0.000 0.250 0.245 1
Li1 Li 0.000 0.000 0.500 1
Ni1 Ni 0.250 0.000 0.000 1
O1 O 0.000 0.076 0.779 1